1.
This record from Alexandria describes a geometry-optimized CeEr2Rh3 structure. The functional is PBE-GGA.

Output
ΔH_f (0 K): -0.84 eV per atom
Energy relative to the lowest polymorph listed for this composition: 0 meV per atom

Cell and atoms, written as CIF:
```
data_CeEr2Rh3
_chemical_formula_sum 'Ce1 Er2 Rh3'
_space_group_name_H-M_alt 'P 1'
_space_group_IT_number 1
_space_group_name_Hall 'P 1'
_cell_length_a 4.8536
_cell_length_b 4.8536
_cell_length_c 5.9255
_cell_angle_alpha 90.00
_cell_angle_beta 90.00
_cell_angle_gamma 120.00
loop_
_atom_site_label
_atom_site_fract_x
_atom_site_fract_y
_atom_site_fract_z
_atom_site_occupancy
Ce1 0.0000 0.0000 0.0000 1
Er1 0.3333 0.6667 0.6608 1
Er2 0.6667 0.3333 0.3392 1
Rh1 0.0000 0.0000 0.5000 1
Rh2 0.3333 0.6667 0.1592 1
Rh3 0.6667 0.3333 0.8408 1
```


2.
This record from Alexandria describes a geometry-optimized BaLiCl structure. The functional is PBE-GGA.

Output
ΔE_f (raw): -1.165 eV/atom
Energy relative to the lowest polymorph listed for this composition: 0 meV per atom

Cell and atoms, written as CIF:
```
data_BaLiCl
_chemical_formula_sum 'Ba2 Li2 Cl2'
_space_group_name_H-M_alt 'P 1'
_space_group_IT_number 1
_space_group_name_Hall 'P 1'
_cell_length_a 4.4569
_cell_length_b 4.4569
_cell_length_c 9.1573
_cell_angle_alpha 90.00
_cell_angle_beta 90.00
_cell_angle_gamma 90.00
loop_
_atom_site_label
_atom_site_fract_x
_atom_site_fract_y
_atom_site_fract_z
_atom_site_occupancy
Ba1 0.2500 0.2500 0.2147 1
Ba2 0.7500 0.7500 0.7853 1
Li1 0.2500 0.2500 0.5700 1
Li2 0.7500 0.7500 0.4300 1
Cl1 0.2500 0.2500 0.8557 1
Cl2 0.7500 0.7500 0.1443 1
```


3.
This record from Alexandria describes a geometry-optimized HoZnSn structure. The functional is PBE-GGA.

Output
ΔH_f (0 K): -0.51 eV per atom

Cell and atoms, written as CIF:
```
data_HoZnSn
_chemical_formula_sum 'Ho2 Zn2 Sn2'
_space_group_name_H-M_alt 'P 1'
_space_group_IT_number 1
_space_group_name_Hall 'P 1'
_cell_length_a 4.6804
_cell_length_b 4.6804
_cell_length_c 7.0586
_cell_angle_alpha 90.00
_cell_angle_beta 90.00
_cell_angle_gamma 120.00
loop_
_atom_site_label
_atom_site_fract_x
_atom_site_fract_y
_atom_site_fract_z
_atom_site_occupancy
Ho1 0.0000 0.0000 0.0000 1
Ho2 0.0000 0.0000 0.5000 1
Zn1 0.3333 0.6667 0.2500 1
Zn2 0.6667 0.3333 0.7500 1
Sn1 0.3333 0.6667 0.7500 1
Sn2 0.6667 0.3333 0.2500 1
```


4.
This record from Alexandria describes a geometry-optimized NiPt2Br structure. The functional is PBE-GGA.

Output
ΔE_f (raw): 0.534 eV/atom
Energy relative to the lowest polymorph listed for this composition: 245 meV per atom

Cell and atoms, written as CIF:
```
data_NiPt2Br
_chemical_formula_sum 'Ni1 Pt2 Br1'
_space_group_name_H-M_alt 'P 1'
_space_group_IT_number 1
_space_group_name_Hall 'P 1'
_cell_length_a 2.8413
_cell_length_b 4.7407
_cell_length_c 4.8233
_cell_angle_alpha 90.00
_cell_angle_beta 90.00
_cell_angle_gamma 90.00
loop_
_atom_site_label
_atom_site_fract_x
_atom_site_fract_y
_atom_site_fract_z
_atom_site_occupancy
Ni1 0.0000 0.0000 0.0000 1
Pt1 0.0000 0.5000 0.5000 1
Pt2 0.5000 0.0000 0.5000 1
Br1 0.5000 0.5000 0.0000 1
```


5.
This record from Alexandria describes a geometry-optimized TaAs2Ru structure. The functional is PBE-GGA.

Output
ΔH_f (0 K): -0.21 eV per atom
Energy relative to the lowest polymorph listed for this composition: 0 meV per atom

Cell and atoms, written as CIF:
```
data_TaAs2Ru
_chemical_formula_sum 'Ta1 As2 Ru1'
_space_group_name_H-M_alt 'P 1'
_space_group_IT_number 1
_space_group_name_Hall 'P 1'
_cell_length_a 4.7903
_cell_length_b 4.7903
_cell_length_c 4.5562
_cell_angle_alpha 105.05
_cell_angle_beta 105.05
_cell_angle_gamma 39.55
loop_
_atom_site_label
_atom_site_fract_x
_atom_site_fract_y
_atom_site_fract_z
_atom_site_occupancy
Ta1 0.0000 0.0000 0.0000 1
As1 0.2614 0.2614 0.8857 1
As2 0.5033 0.5033 0.5107 1
Ru1 0.7705 0.7705 0.3669 1
```


6.
This record from Alexandria describes a geometry-optimized KZr2As structure. The functional is PBE-GGA.

Output
ΔH_f (0 K): 0.40 eV per atom

Cell and atoms, written as CIF:
```
data_KZr2As
_chemical_formula_sum 'K1 Zr2 As1'
_space_group_name_H-M_alt 'P 1'
_space_group_IT_number 1
_space_group_name_Hall 'P 1'
_cell_length_a 5.6367
_cell_length_b 5.6367
_cell_length_c 5.6367
_cell_angle_alpha 133.82
_cell_angle_beta 133.82
_cell_angle_gamma 67.38
loop_
_atom_site_label
_atom_site_fract_x
_atom_site_fract_y
_atom_site_fract_z
_atom_site_occupancy
K1 0.0000 0.0000 0.0000 1
Zr1 0.2500 0.7500 0.5000 1
Zr2 0.7500 0.2500 0.5000 1
As1 0.5000 0.5000 0.0000 1
```


7.
This record from Alexandria describes a geometry-optimized BaMgSn2Cl8 structure. The functional is PBE-GGA.

Output
ΔE_f (raw): -1.550 eV/atom

Cell and atoms, written as CIF:
```
data_BaMgSn2Cl8
_chemical_formula_sum 'Ba1 Mg1 Sn2 Cl8'
_space_group_name_H-M_alt 'P 1'
_space_group_IT_number 1
_space_group_name_Hall 'P 1'
_cell_length_a 6.4348
_cell_length_b 6.7261
_cell_length_c 8.7803
_cell_angle_alpha 91.27
_cell_angle_beta 90.01
_cell_angle_gamma 92.05
loop_
_atom_site_label
_atom_site_fract_x
_atom_site_fract_y
_atom_site_fract_z
_atom_site_occupancy
Ba1 0.0000 0.0000 0.0000 1
Mg1 0.0000 0.0000 0.5000 1
Sn1 0.4867 0.5190 0.2710 1
Sn2 0.5133 0.4810 0.7290 1
Cl1 0.2002 0.1785 0.2945 1
Cl2 0.2407 0.1352 0.7119 1
Cl3 0.2416 0.6935 0.4696 1
Cl4 0.2807 0.6432 0.0300 1
Cl5 0.7193 0.3568 0.9700 1
Cl6 0.7584 0.3065 0.5304 1
Cl7 0.7593 0.8648 0.2881 1
Cl8 0.7998 0.8215 0.7055 1
```


8.
This record from Alexandria describes a geometry-optimized SrTbAl2 structure. The functional is PBE-GGA.

Output
ΔH_f (0 K): -0.24 eV per atom

Cell and atoms, written as CIF:
```
data_SrTbAl2
_chemical_formula_sum 'Sr1 Tb1 Al2'
_space_group_name_H-M_alt 'P 1'
_space_group_IT_number 1
_space_group_name_Hall 'P 1'
_cell_length_a 3.7632
_cell_length_b 3.7632
_cell_length_c 7.6027
_cell_angle_alpha 90.00
_cell_angle_beta 90.00
_cell_angle_gamma 90.00
loop_
_atom_site_label
_atom_site_fract_x
_atom_site_fract_y
_atom_site_fract_z
_atom_site_occupancy
Sr1 0.0000 0.0000 0.0000 1
Tb1 0.0000 0.0000 0.5000 1
Al1 0.5000 0.5000 0.2846 1
Al2 0.5000 0.5000 0.7154 1
```


9.
This record from Alexandria describes a geometry-optimized SiSbTe2 structure. The functional is PBE-GGA.

Output
ΔE_f (raw): 0.131 eV/atom
Energy relative to the lowest polymorph listed for this composition: 8 meV per atom

Cell and atoms, written as CIF:
```
data_SiSbTe2
_chemical_formula_sum 'Si1 Sb1 Te2'
_space_group_name_H-M_alt 'P 1'
_space_group_IT_number 1
_space_group_name_Hall 'P 1'
_cell_length_a 4.7643
_cell_length_b 4.3106
_cell_length_c 6.1350
_cell_angle_alpha 90.00
_cell_angle_beta 111.62
_cell_angle_gamma 90.00
loop_
_atom_site_label
_atom_site_fract_x
_atom_site_fract_y
_atom_site_fract_z
_atom_site_occupancy
Si1 0.0000 0.0000 0.0000 1
Sb1 0.7438 0.5000 0.1756 1
Te1 0.1862 0.5000 0.7807 1
Te2 0.4586 0.0000 0.3987 1
```


10.
This record from Alexandria describes a geometry-optimized PbSe2O structure. The functional is PBE-GGA.

Output
ΔE_f (raw): 0.014 eV/atom
Energy relative to the lowest polymorph listed for this composition: 17 meV per atom

Cell and atoms, written as CIF:
```
data_PbSe2O
_chemical_formula_sum 'Pb2 Se4 O2'
_space_group_name_H-M_alt 'P 1'
_space_group_IT_number 1
_space_group_name_Hall 'P 1'
_cell_length_a 7.2255
_cell_length_b 7.2255
_cell_length_c 7.2255
_cell_angle_alpha 132.68
_cell_angle_beta 132.68
_cell_angle_gamma 69.15
loop_
_atom_site_label
_atom_site_fract_x
_atom_site_fract_y
_atom_site_fract_z
_atom_site_occupancy
Pb1 0.0000 0.0000 0.0000 1
Pb2 0.7500 0.2500 0.5000 1
Se1 0.2887 0.6250 0.1637 1
Se2 0.3750 0.5387 0.6637 1
Se3 0.4613 0.1250 0.8363 1
Se4 0.8750 0.7113 0.3363 1
O1 0.2500 0.7500 0.5000 1
O2 0.5000 0.5000 0.0000 1
```


11.
This record from Alexandria describes a geometry-optimized Nd3PdSeCl structure. The functional is PBE-GGA.

Output
ΔE_f (raw): -1.166 eV/atom

Cell and atoms, written as CIF:
```
data_Nd3PdSeCl
_chemical_formula_sum 'Nd6 Pd2 Se2 Cl2'
_space_group_name_H-M_alt 'P 1'
_space_group_IT_number 1
_space_group_name_Hall 'P 1'
_cell_length_a 8.4557
_cell_length_b 4.1286
_cell_length_c 9.6344
_cell_angle_alpha 90.00
_cell_angle_beta 103.88
_cell_angle_gamma 90.00
loop_
_atom_site_label
_atom_site_fract_x
_atom_site_fract_y
_atom_site_fract_z
_atom_site_occupancy
Nd1 0.0728 0.2500 0.3364 1
Nd2 0.2216 0.2500 0.9950 1
Nd3 0.4001 0.7500 0.6088 1
Nd4 0.5999 0.2500 0.3912 1
Nd5 0.7784 0.7500 0.0050 1
Nd6 0.9272 0.7500 0.6636 1
Pd1 0.1639 0.2500 0.6506 1
Pd2 0.8361 0.7500 0.3494 1
Se1 0.3151 0.7500 0.2618 1
Se2 0.6849 0.2500 0.7382 1
Cl1 0.4009 0.7500 0.8965 1
Cl2 0.5991 0.2500 0.1035 1
```


12.
This record from Alexandria describes a geometry-optimized Rb2Al2Ni structure. The functional is PBE-GGA.

Output
ΔH_f (0 K): 0.63 eV per atom

Cell and atoms, written as CIF:
```
data_Rb2Al2Ni
_chemical_formula_sum 'Rb2 Al2 Ni1'
_space_group_name_H-M_alt 'P 1'
_space_group_IT_number 1
_space_group_name_Hall 'P 1'
_cell_length_a 11.5250
_cell_length_b 11.5250
_cell_length_c 11.5250
_cell_angle_alpha 160.80
_cell_angle_beta 160.80
_cell_angle_gamma 27.28
loop_
_atom_site_label
_atom_site_fract_x
_atom_site_fract_y
_atom_site_fract_z
_atom_site_occupancy
Rb1 0.0953 0.0953 0.0000 1
Rb2 0.9047 0.9047 0.0000 1
Al1 0.2500 0.7500 0.5000 1
Al2 0.7500 0.2500 0.5000 1
Ni1 0.5000 0.5000 0.0000 1
```


| no. | total DFT energy (no corrections) (eV per atom) | M_tot (μB per formula unit) |
| --- | --- | --- |
| 1 | -7.0246 | 0.2 |
| 2 | -3.0595 | 0.0 |
| 3 | -3.7947 | 0.0 |
| 4 | -4.3501 | 1.1 |
| 5 | -7.8181 | 0.0 |
| 6 | -5.3108 | 0.0 |
| 7 | -3.7414 | 0.0 |
| 8 | -3.6870 | 0.0 |
| 9 | -3.8257 | 0.0 |
| 10 | -3.8950 | 0.0 |
| 11 | -5.3042 | 0.0 |
| 12 | -2.4065 | 0.8 |